## MgMo2O (GGA+U)

Data for an optimized crystal structure of MgMo2O.

Lattice parameters (Å, degrees): 6.7619 6.7619 6.7619 90.00 90.00 90.00
Closest atoms and distances in Å follow each position.
Atoms (fractional coordinates):
Mg1 0.0000 0.0000 0.0000  8 Mo 2.93
Mg2 0.0000 0.5000 0.5000  8 Mo 2.93
Mg3 0.5000 0.0000 0.5000  8 Mo 2.93
Mg4 0.5000 0.5000 0.0000  8 Mo 2.93
Mo1 0.2500 0.2500 0.2500  4 O 2.93, 4 Mg 2.93
Mo2 0.2500 0.2500 0.7500  4 O 2.93, 4 Mg 2.93
Mo3 0.2500 0.7500 0.2500  4 O 2.93, 4 Mg 2.93
Mo4 0.2500 0.7500 0.7500  4 O 2.93, 4 Mg 2.93
Mo5 0.7500 0.2500 0.2500  4 O 2.93, 4 Mg 2.93
Mo6 0.7500 0.2500 0.7500  4 O 2.93, 4 Mg 2.93
Mo7 0.7500 0.7500 0.2500  4 O 2.93, 4 Mg 2.93
Mo8 0.7500 0.7500 0.7500  4 O 2.93, 4 Mg 2.93
O1 0.0000 0.0000 0.5000  8 Mo 2.93
O2 0.0000 0.5000 0.0000  8 Mo 2.93
O3 0.5000 0.0000 0.0000  8 Mo 2.93
O4 0.5000 0.5000 0.5000  8 Mo 2.93

Properties
crystal system	cubic
excess energy over the best structure of this formula in the dataset	666	meV per atom